Here is a relaxed structure of Nd2TeBr from Alexandria via LeMat-Bulk. Energies are from PBE.

Properties
Energy relative to the elements, uncorrected: -1.206 eV/atom
Distance to the lowest polymorph of the same formula: 29 meV/atom
Total DFT energy (no corrections): -4.7933 eV/atom

a b c (Å): 4.5153 4.5153 7.2622
angles (deg): 71.89 71.89 60.00
Closest atoms and distances in Å follow each position.
Sites, in units of the cell vectors:
Te (0.5000, 0.5000, 0.5000)  6 Nd 3.15
Br (0.0000, 0.0000, 0.0000)  6 Nd 3.07
Nd (0.7464, 0.7464, 0.7609)  3 Br 3.07, 3 Te 3.15
Nd (0.2536, 0.2536, 0.2391)  3 Br 3.07, 3 Te 3.15

=====

Here is a relaxed structure of Nd4Te4Br3 from Alexandria via LeMat-Bulk. Energies are from PBE.

Properties
Energy relative to the elements, uncorrected: -1.387 eV/atom
Total DFT energy (no corrections): -4.7196 eV/atom

a b c (Å): 4.3058 8.4765 11.0095
angles (deg): 112.64 101.28 90.00
Closest atoms and distances in Å follow each position.
Sites, in units of the cell vectors:
Te (0.6615, 0.8894, 0.3231)  4 Nd 3.16-3.25
Te (0.6615, 0.4337, 0.3231)  4 Nd 3.16-3.25
Te (0.3385, 0.1106, 0.6769)  4 Nd 3.16-3.25
Te (0.3385, 0.5663, 0.6769)  4 Nd 3.16-3.25
Br (0.9227, 0.9227, 0.8454)  1 Br 3.07, 4 Nd 3.20
Br (0.0773, 0.0773, 0.1546)  1 Br 3.07, 4 Nd 3.20
Br (0.0000, 0.5000, 0.0000)  4 Nd 3.25
Nd (0.5000, 0.2126, 0.0000)  6 Br 3.20-3.25, 2 Te 3.25
Nd (0.7747, 0.2747, 0.5495)  6 Te 3.16-3.22
Nd (0.2253, 0.7253, 0.4505)  6 Te 3.16-3.22
Nd (0.5000, 0.7874, 0.0000)  6 Br 3.20-3.25, 2 Te 3.25

=====

Here is a relaxed structure of Nd7TeBr12 from Alexandria via LeMat-Bulk. Energies are from PBE.

Properties
Energy relative to the elements, uncorrected: -1.639 eV/atom
Total DFT energy (no corrections): -4.4681 eV/atom

a b c (Å): 9.5422 9.5422 9.5422
angles (deg): 108.19 108.19 108.19
Closest atoms and distances in Å follow each position.
Sites, in units of the cell vectors:
Nd (0.3407, 0.1235, 0.0460)  1 Te 2.92, 5 Br 3.02-3.06
Nd (0.0460, 0.3407, 0.1235)  1 Te 2.92, 5 Br 3.02-3.06
Nd (0.6593, 0.8765, 0.9540)  1 Te 2.92, 5 Br 3.02-3.06
Nd (0.5000, 0.5000, 0.5000)  6 Br 2.99
Nd (0.9540, 0.6593, 0.8765)  1 Te 2.92, 5 Br 3.02-3.06
Nd (0.8765, 0.9540, 0.6593)  1 Te 2.92, 5 Br 3.02-3.06
Nd (0.1235, 0.0460, 0.3407)  1 Te 2.92, 5 Br 3.02-3.06
Br (0.6047, 0.5207, 0.8386)  3 Nd 2.99-3.04
Br (0.1614, 0.3953, 0.4793)  3 Nd 2.99-3.04
Br (0.9234, 0.3092, 0.7771)  3 Nd 3.02-3.06
Br (0.8386, 0.6047, 0.5207)  3 Nd 2.99-3.04
Br (0.0766, 0.6908, 0.2229)  3 Nd 3.02-3.06
Br (0.7771, 0.9234, 0.3092)  3 Nd 3.02-3.06
Br (0.5207, 0.8386, 0.6047)  3 Nd 2.99-3.04
Br (0.2229, 0.0766, 0.6908)  3 Nd 3.02-3.06
Br (0.3953, 0.4793, 0.1614)  3 Nd 2.99-3.04
Br (0.4793, 0.1614, 0.3953)  3 Nd 2.99-3.04
Br (0.3092, 0.7771, 0.9234)  3 Nd 3.02-3.06
Br (0.6908, 0.2229, 0.0766)  3 Nd 3.02-3.06
Te (0.0000, 0.0000, 0.0000)  6 Nd 2.92

=====

Here is a relaxed structure of Nd2TeBr from Alexandria via LeMat-Bulk. Energies are from PBE.

Properties
Energy relative to the elements, uncorrected: -1.207 eV/atom
Distance to the lowest polymorph of the same formula: 28 meV/atom
Total DFT energy (no corrections): -4.7950 eV/atom

a b c (Å): 3.8180 3.8180 7.5573
angles (deg): 90.00 90.00 90.00
Closest atoms and distances in Å follow each position.
Sites, in units of the cell vectors:
Nd (0.0000, 0.0000, 0.7572)  4 Te 3.26, 4 Br 3.33
Nd (0.0000, 0.0000, 0.2428)  4 Te 3.26, 4 Br 3.33
Te (0.5000, 0.5000, 0.0000)  8 Nd 3.26
Br (0.5000, 0.5000, 0.5000)  8 Nd 3.33

=====

Here is a relaxed structure of Nd3TeBr7 from Alexandria via LeMat-Bulk. Energies are from PBE.

Properties
Energy relative to the elements, uncorrected: -1.780 eV/atom
Total DFT energy (no corrections): -4.4307 eV/atom

a b c (Å): 7.1511 8.7994 8.7994
angles (deg): 120.00 90.00 90.00
Closest atoms and distances in Å follow each position.
Sites, in units of the cell vectors:
Te (0.5248, 0.3333, 0.6667)  3 Nd 3.08
Br (0.5707, 0.8233, 0.6466)  2 Nd 2.92
Br (0.5707, 0.8233, 0.1767)  2 Nd 2.92
Br (0.0071, 0.1770, 0.8230)  2 Nd 2.92
Br (0.0071, 0.6461, 0.8230)  2 Nd 2.92
Br (0.5707, 0.3534, 0.1767)  2 Nd 2.92
Br (0.0155, 0.6667, 0.3333)  3 Nd 3.10
Br (0.0071, 0.1770, 0.3539)  2 Nd 2.92
Nd (0.7805, 0.4961, 0.5039)  5 Br 2.92-3.10, 1 Te 3.08
Nd (0.7805, 0.4961, 0.9921)  5 Br 2.92-3.10, 1 Te 3.08
Nd (0.7805, 0.0079, 0.5039)  5 Br 2.92-3.10, 1 Te 3.08

=====

Here is a relaxed structure of Nd6TeBr8 from Alexandria via LeMat-Bulk. Energies are from PBE.

Properties
Energy relative to the elements, uncorrected: -1.439 eV/atom
Total DFT energy (no corrections): -4.4475 eV/atom

a b c (Å): 6.8043 6.8043 12.8761
angles (deg): 74.68 74.68 60.00
Closest atoms and distances in Å follow each position.
Sites, in units of the cell vectors:
Br (0.5581, 0.8872, 0.3384)  3 Nd 3.00-3.01
Br (0.3333, 0.3333, 0.0000)  6 Nd 3.14
Br (0.8872, 0.2163, 0.3384)  3 Nd 3.00-3.01
Br (0.1128, 0.7837, 0.6616)  3 Nd 3.00-3.01
Br (0.7837, 0.4419, 0.6616)  3 Nd 3.00-3.01
Br (0.6667, 0.6667, 0.0000)  6 Nd 3.14
Br (0.4419, 0.1128, 0.6616)  3 Nd 3.00-3.01
Br (0.2163, 0.5581, 0.3384)  3 Nd 3.00-3.01
Te (0.0000, 0.0000, 0.0000)  6 Nd 3.16
Nd (0.7234, 0.0594, 0.8217)  5 Br 3.00-3.14, 1 Te 3.16
Nd (0.6045, 0.2766, 0.1783)  5 Br 3.00-3.14, 1 Te 3.16
Nd (0.0594, 0.3955, 0.8217)  5 Br 3.00-3.14, 1 Te 3.16
Nd (0.2766, 0.9406, 0.1783)  5 Br 3.00-3.14, 1 Te 3.16
Nd (0.3955, 0.7234, 0.8217)  5 Br 3.00-3.14, 1 Te 3.16
Nd (0.9406, 0.6045, 0.1783)  5 Br 3.00-3.14, 1 Te 3.16

=====

Here is a relaxed structure of Nd2TeBr from Alexandria via LeMat-Bulk. Energies are from PBE.

Properties
Energy relative to the elements, uncorrected: -1.232 eV/atom
Distance to the lowest polymorph of the same formula: 3 meV/atom
Total DFT energy (no corrections): -4.8192 eV/atom

a b c (Å): 4.0432 4.0432 8.8406
angles (deg): 76.78 76.78 60.00
Closest atoms and distances in Å follow each position.
Sites, in units of the cell vectors:
Te (0.5003, 0.5003, 0.4991)  6 Nd 3.14-3.15
Nd (0.2491, 0.2491, 0.2528)  3 Te 3.14, 3 Br 3.17
Nd (0.0845, 0.0845, 0.7464)  3 Te 3.15, 3 Br 3.19
Br (0.6661, 0.6661, 0.0017)  6 Nd 3.17-3.19

=====

Here is a relaxed structure of Nd2TeBr from Alexandria via LeMat-Bulk. Energies are from PBE.

Properties
Energy relative to the elements, uncorrected: -1.235 eV/atom
Distance to the lowest polymorph of the same formula: 0 meV/atom
Total DFT energy (no corrections): -4.8227 eV/atom

a b c (Å): 5.3785 5.3785 5.3785
angles (deg): 60.00 60.00 60.00
Closest atoms and distances in Å follow each position.
Sites, in units of the cell vectors:
Te (0.5000, 0.5000, 0.5000)  8 Nd 3.29
Nd (0.2500, 0.2500, 0.2500)  4 Br 3.29, 4 Te 3.29
Nd (0.7500, 0.7500, 0.7500)  4 Te 3.29, 4 Br 3.29
Br (0.0000, 0.0000, 0.0000)  8 Nd 3.29

=====

Here is a relaxed structure of Nd2TeBr from Alexandria via LeMat-Bulk. Energies are from PBE.

Properties
Energy relative to the elements, uncorrected: -0.931 eV/atom
Distance to the lowest polymorph of the same formula: 304 meV/atom
Total DFT energy (no corrections): -4.5189 eV/atom

a b c (Å): 4.0489 4.0489 10.1432
angles (deg): 90.00 90.00 120.00
Closest atoms and distances in Å follow each position.
Sites, in units of the cell vectors:
Br (0.0000, 0.0000, 0.0410)  4 Nd 3.00-3.13
Nd (0.0000, 0.0000, 0.3368)  1 Br 3.00, 3 Te 3.10
Nd (0.6667, 0.3333, 0.8354)  1 Te 3.03, 3 Br 3.13
Te (0.6667, 0.3333, 0.5369)  4 Nd 3.03-3.10

=====

Here is a relaxed structure of NdThTe2Br from Alexandria via LeMat-Bulk. Energies are from PBE.

Properties
Energy relative to the elements, uncorrected: -1.347 eV/atom
Total DFT energy (no corrections): -5.3755 eV/atom

a b c (Å): 4.4623 4.4623 15.2647
angles (deg): 90.00 90.00 90.00
Closest atoms and distances in Å follow each position.
Sites, in units of the cell vectors:
Te (0.5000, 0.0000, 0.2947)  1 Th 3.23, 4 Nd 3.30
Te (0.0000, 0.5000, 0.7053)  1 Th 3.23, 4 Nd 3.30
Te (0.0000, 0.5000, 0.1313)  5 Th 3.24-3.27, 1 Nd 3.48
Te (0.5000, 0.0000, 0.8687)  5 Th 3.24-3.27, 1 Nd 3.48
Th (0.0000, 0.5000, 0.9171)  6 Te 3.23-3.27
Th (0.5000, 0.0000, 0.0829)  6 Te 3.23-3.27
Nd (0.0000, 0.5000, 0.3589)  4 Br 3.10, 4 Te 3.30
Nd (0.5000, 0.0000, 0.6411)  4 Br 3.10, 4 Te 3.30
Br (0.5000, 0.5000, 0.5000)  4 Nd 3.10, 4 Br 3.16
Br (0.0000, 0.0000, 0.5000)  4 Nd 3.10, 4 Br 3.16

=====

Here is a relaxed structure of NdThBr2 from Alexandria via LeMat-Bulk. Energies are from PBE.

Properties
Energy relative to the elements, uncorrected: -0.927 eV/atom
Total DFT energy (no corrections): -4.8100 eV/atom

a b c (Å): 3.6833 3.6833 10.7752
angles (deg): 80.16 80.16 60.00
Closest atoms and distances in Å follow each position.
Sites, in units of the cell vectors:
Br (0.9037, 0.9037, 0.2889)  1 Nd 3.05, 3 Th 3.08
Br (0.0963, 0.0963, 0.7111)  1 Nd 3.05, 3 Th 3.08
Th (0.5000, 0.5000, 0.5000)  6 Br 3.08
Nd (0.0000, 0.0000, 0.0000)  2 Br 3.05

=====

Here is a relaxed structure of Nd5Tl2Br from Alexandria via LeMat-Bulk. Energies are from PBE.

Properties
Energy relative to the elements, uncorrected: -0.488 eV/atom
Total DFT energy (no corrections): -4.2686 eV/atom

a b c (Å): 4.4075 9.0976 12.6203
angles (deg): 90.00 90.00 90.00
Closest atoms and distances in Å follow each position.
Sites, in units of the cell vectors:
Tl (0.5000, 0.0753, 0.3175)  8 Nd 3.26-3.63
Tl (0.5000, 0.9247, 0.6825)  8 Nd 3.26-3.63
Tl (0.5000, 0.4247, 0.8175)  8 Nd 3.26-3.63
Tl (0.5000, 0.5753, 0.1825)  8 Nd 3.26-3.63
Nd (0.0000, 0.0000, 0.5000)  4 Tl 3.26, 4 Nd 3.57
Nd (0.5000, 0.7923, 0.9286)  2 Br 3.04, 1 Tl 3.33
Nd (0.0000, 0.1532, 0.7932)  1 Br 2.96
Nd (0.5000, 0.7077, 0.4286)  2 Br 3.04, 1 Tl 3.33
Nd (0.5000, 0.2923, 0.5714)  2 Br 3.04, 1 Tl 3.33
Nd (0.0000, 0.8468, 0.2068)  1 Br 2.96
Nd (0.5000, 0.2077, 0.0714)  2 Br 3.04, 1 Tl 3.33
Nd (0.0000, 0.5000, 0.0000)  4 Tl 3.26, 4 Nd 3.57
Nd (0.0000, 0.3468, 0.2932)  1 Br 2.96
Nd (0.0000, 0.6532, 0.7068)  1 Br 2.96
Br (0.0000, 0.0000, 0.0000)  6 Nd 2.96-3.04
Br (0.0000, 0.5000, 0.5000)  6 Nd 2.96-3.04

=====

Number 1: total magnetization 0.00 μB per formula unit. Number 2: total magnetization 0.00 μB per formula unit. Number 3: total magnetization 0.00 μB per formula unit. Number 4: total magnetization 0.00 μB per formula unit. Number 5: total magnetization 0.16 μB per formula unit. Number 6: total magnetization 0.00 μB per formula unit. Number 7: total magnetization 0.00 μB per formula unit. Number 8: total magnetization 0.00 μB per formula unit. Number 9: total magnetization 0.83 μB per formula unit. Number 10: total magnetization 0.00 μB per formula unit. Number 11: total magnetization 0.44 μB per formula unit. Number 12: total magnetization 0.00 μB per formula unit.